VASP calculation (SCAN) on a crystal of LiLa4Ag relaxed with PBEsol.

Calculated values
Density of states at the Fermi level (states/eV per cell): 32.00
ΔH_f (0 K) (eV/atom): 0.41

```
data_LiLa4Ag
_chemical_formula_sum 'Li4 La16 Ag4'
_cell_length_a 9.066
_cell_length_b 9.066
_cell_length_c 9.066
_cell_angle_alpha 90.00
_cell_angle_beta 90.00
_cell_angle_gamma 90.00
_symmetry_space_group_name_H-M 'F -4 3 m'
_symmetry_Int_Tables_number 216
_symmetry_space_group_name_Hall 'F -4 2 3'
loop_
_atom_site_label
_atom_site_type_symbol
_atom_site_fract_x
_atom_site_fract_y
_atom_site_fract_z
Li1 Li 0.000 0.000 0.000
La1 La 0.123 0.123 0.623
Ag1 Ag 0.250 0.250 0.250
```